Density functional theory data (PBE+U) for an optimized crystal structure of BaMoO3.

Calculated values
* raw total energy: -4.6370 eV/atom

Geometry as CIF:
```
data_BaMoO3
_chemical_formula_sum 'Ba1 Mo1 O3'
_symmetry_space_group_name_H-M 'P m -3 m'
_symmetry_Int_Tables_number 221
_symmetry_space_group_name_Hall '-P 4 2 3'
_cell_length_a 4.554
_cell_length_b 4.554
_cell_length_c 4.554
_cell_angle_alpha 90.00
_cell_angle_beta 90.00
_cell_angle_gamma 90.00
loop_
_atom_site_label
_atom_site_fract_x
_atom_site_fract_y
_atom_site_fract_z
_atom_site_occupancy
Ba1 0.000 0.000 0.000 1
Mo1 0.500 0.500 0.500 1
O1 0.000 0.000 0.500 1
```